A geometry-optimized SmMg2S3 structure. Source: OQMD, functional PBE.

Lattice parameters (Å, degrees): 3.750 3.750 9.576 90.00 90.00 120.00
Element x y z (fractional)
1 Mg 0.333 0.667 0.156
2 Mg 0.667 0.333 0.844
3 Sm 0.000 0.000 0.500
4 S 0.667 0.333 0.308
5 S 0.000 0.000 0.000
6 S 0.333 0.667 0.692

Properties
Energy ... -4.924 eV per atom
Space-group type ... No. 164
Total moment ... 0.0 μB per formula unit


A geometry-optimized Sm2Pt2O5 structure. Source: OQMD, functional PBE.

Lattice parameters (Å, degrees): 6.982 4.065 4.065 90.00 90.00 90.00
Element x y z (fractional)
1 O 0.238 0.000 0.500
2 O 0.762 0.500 0.000
3 O 0.762 0.000 0.500
4 O 0.500 0.500 0.500
5 O 0.238 0.500 0.000
6 Pt 0.808 0.500 0.500
7 Pt 0.192 0.500 0.500
8 Sm 0.000 0.000 0.000
9 Sm 0.500 0.000 0.000

Properties
Energy ... -6.759 eV per atom
Space-group type ... No. 123
Total moment ... 0.0 μB per formula unit


A geometry-optimized ErRe structure. Source: OQMD, functional PBE.

Lattice parameters (Å, degrees): 4.020 4.020 4.020 60.00 60.00 60.00
Site moments in Bohr magnetons follow the coordinates.
Element x y z (fractional)
1 Re 0.500 0.500 0.500  0.21
2 Er 0.000 0.000 0.000  0.02

Properties
DFT formation energy ... 1351 meV per atom
Energy ... -7.142 eV per atom
Space-group type ... No. 225
Total moment ... 0.2 μB per formula unit


A geometry-optimized La2CuIr structure. Source: OQMD, functional PBE.

Lattice parameters (Å, degrees): 5.899 4.447 7.987 90.00 110.34 90.00
Element x y z (fractional)
1 La 0.733 0.250 0.426
2 La 0.267 0.750 0.574
3 La 0.722 0.250 0.939
4 La 0.278 0.750 0.061
5 Cu 0.849 0.750 0.713
6 Cu 0.151 0.250 0.287
7 Ir 0.160 0.250 0.786
8 Ir 0.840 0.750 0.214

Properties
DFT formation energy ... -528 meV per atom
Energy ... -6.132 eV per atom
Space-group type ... No. 11
Total moment ... 0.0 μB per formula unit


A geometry-optimized Zr3AgN structure. Source: OQMD, functional PBE.

Lattice parameters (Å, degrees): 4.484 4.484 4.484 90.00 90.00 90.00
Element x y z (fractional)
1 Zr 0.500 0.500 0.000
2 Zr 0.500 0.000 0.500
3 Zr 0.000 0.500 0.500
4 N 0.500 0.500 0.500
5 Ag 0.000 0.000 0.000

Properties
Energy ... -8.100 eV per atom
Space-group type ... No. 221
Total moment ... 0.0 μB per formula unit


A geometry-optimized Zr4TlCdP2 structure. Source: OQMD, functional PBE.

Lattice parameters (Å, degrees): 3.624 3.624 15.231 90.00 90.00 120.00
Element x y z (fractional)
1 P 0.667 0.333 0.751
2 P 0.667 0.333 0.249
3 Zr 0.333 0.667 0.847
4 Zr 0.000 0.000 0.345
5 Zr 0.333 0.667 0.153
6 Zr 0.000 0.000 0.655
7 Cd 0.000 0.000 0.000
8 Tl 0.333 0.667 0.500

Properties
Energy ... -6.805 eV per atom
Space-group type ... No. 187
Total moment ... 0.0 μB per formula unit


A geometry-optimized Gd3Er2Hg3 structure. Source: OQMD, functional PBE.

Lattice parameters (Å, degrees): 6.875 6.875 5.290 90.00 90.00 120.00
Element x y z (fractional)
1 Er 0.000 0.000 0.500
2 Er 0.333 0.667 0.000
3 Gd 0.502 0.498 0.500
4 Gd 0.502 0.005 0.500
5 Gd 0.995 0.498 0.500
6 Hg 0.335 0.168 0.000
7 Hg 0.832 0.168 0.000
8 Hg 0.832 0.665 0.000

Properties
DFT formation energy ... -133 meV per atom
Energy ... -3.131 eV per atom
Space-group type ... No. 187
Total moment ... 0.0 μB per formula unit


A geometry-optimized SiHgTe2 structure. Source: OQMD, functional PBE.

Lattice parameters (Å, degrees): 5.244 5.244 5.244 60.00 60.00 60.00
Element x y z (fractional)
1 Te 0.750 0.750 0.750
2 Te 0.000 0.000 0.000
3 Hg 0.250 0.250 0.250
4 Si 0.500 0.500 0.500

Properties
Energy ... -2.488 eV per atom
Space-group type ... No. 216


A geometry-optimized Tl2FeAuBr6 structure. Source: OQMD, functional PBE.

Lattice parameters (Å, degrees): 7.521 7.521 7.521 60.00 60.00 60.00
Site moments in Bohr magnetons follow the coordinates.
Element x y z (fractional)
1 Tl 0.750 0.750 0.750  0.00
2 Tl 0.250 0.250 0.250  0.00
3 Br 0.741 0.259 0.259  0.05
4 Br 0.259 0.741 0.259  0.07
5 Br 0.259 0.741 0.741  0.05
6 Br 0.741 0.259 0.741  0.07
7 Br 0.741 0.741 0.259  0.06
8 Br 0.259 0.259 0.741  0.06
9 Au 0.000 0.000 0.000  0.02
10 Fe 0.500 0.500 0.500  3.44

Properties
Energy ... -3.092 eV per atom
Space-group type ... No. 225
Total moment ... 4.1 μB per formula unit


A geometry-optimized Tm14C structure. Source: OQMD, functional PBE.

Lattice parameters (Å, degrees): 8.053 8.053 8.053 72.89 72.89 72.89
Site moments in Bohr magnetons follow the coordinates.
Element x y z (fractional)
1 Tm 0.000 0.322 0.678  0.12
2 Tm 0.678 0.000 0.322  0.11
3 Tm 0.322 0.678 0.000  0.14
4 Tm 0.371 0.371 0.371  0.07
5 Tm 0.305 0.305 0.914  0.11
6 Tm 0.305 0.914 0.305  0.10
7 Tm 0.322 0.000 0.678  0.11
8 Tm 0.629 0.629 0.629  0.07
9 Tm 0.086 0.695 0.695  0.10
10 Tm 0.914 0.305 0.305  0.10
11 Tm 0.695 0.695 0.086  0.11
12 Tm 0.000 0.678 0.322  0.12
13 Tm 0.678 0.322 0.000  0.14
14 Tm 0.695 0.086 0.695  0.10
15 C 0.500 0.500 0.500  0.00

Properties
Energy ... -4.211 eV per atom
Space-group type ... No. 166
Total moment ... 1.7 μB per formula unit


A geometry-optimized NdAlAsPd2 structure. Source: OQMD, functional PBE.

Lattice parameters (Å, degrees): 4.312 4.312 10.313 90.00 90.00 90.00
Element x y z (fractional)
1 Pd 0.500 0.500 0.500
2 Pd 0.000 0.500 0.876
3 Pd 0.000 0.000 0.500
4 Pd 0.500 0.000 0.124
5 As 0.000 0.500 0.640
6 As 0.500 0.000 0.360
7 Al 0.000 0.000 0.000
8 Al 0.500 0.500 0.000
9 Nd 0.000 0.500 0.263
10 Nd 0.500 0.000 0.737

Properties
Energy ... -5.648 eV per atom
Space-group type ... No. 129
Total moment ... 0.0 μB per formula unit


A geometry-optimized AgBiS6 structure. Source: OQMD, functional PBE.

Lattice parameters (Å, degrees): 6.307 6.307 6.307 60.00 60.00 60.00
Element x y z (fractional)
1 S 0.278 0.278 0.722
2 S 0.722 0.278 0.278
3 S 0.278 0.722 0.722
4 S 0.278 0.722 0.278
5 S 0.722 0.722 0.278
6 S 0.722 0.278 0.722
7 Bi 0.250 0.250 0.250
8 Ag 0.000 0.000 0.000

Properties
Energy ... -3.185 eV per atom
Space-group type ... No. 216


A geometry-optimized LuCdInCu structure. Source: OQMD, functional PBE.

Lattice parameters (Å, degrees): 4.843 4.843 4.843 60.00 60.00 60.00
Element x y z (fractional)
1 Lu 0.500 0.500 0.500
2 Cu 0.750 0.750 0.750
3 Cd 0.250 0.250 0.250
4 In 0.000 0.000 0.000

Properties
Energy ... -3.162 eV per atom
Space-group type ... No. 216
Total moment ... 0.0 μB per formula unit


A geometry-optimized Gd2YSn6Pb structure. Source: OQMD, functional PBE.

Lattice parameters (Å, degrees): 13.523 13.523 4.497 90.00 90.00 161.15
Element x y z (fractional)
1 Sn 0.903 0.097 0.500
2 Sn 0.288 0.712 0.500
3 Sn 0.712 0.288 0.500
4 Sn 0.403 0.597 0.000
5 Sn 0.097 0.903 0.500
6 Sn 0.597 0.403 0.000
7 Gd 0.811 0.189 0.000
8 Gd 0.189 0.811 0.000
9 Y 0.500 0.500 0.500
10 Pb 0.000 0.000 0.000

Properties
Energy ... -4.877 eV per atom
Space-group type ... No. 65
Total moment ... 0.0 μB per formula unit


A geometry-optimized Zn3Ge structure. Source: OQMD, functional PBE.

Lattice parameters (Å, degrees): 10.047 5.637 5.136 90.00 90.00 152.43
Element x y z (fractional)
1 Ge 0.278 0.571 0.500
2 Ge 0.055 0.096 0.000
3 Zn 0.780 0.075 0.500
4 Zn 0.286 0.079 0.500
5 Zn 0.553 0.591 0.000
6 Zn 0.551 0.097 0.000
7 Zn 0.047 0.587 0.000
8 Zn 0.782 0.570 0.500

Properties
Energy ... -1.970 eV per atom
Space-group type ... No. 11


A geometry-optimized K2AgO2 structure. Source: OQMD, functional PBE.

Lattice parameters (Å, degrees): 8.126 5.752 11.845 90.00 132.47 90.00
Element x y z (fractional)
1 Ag 0.417 0.351 0.544
2 Ag 0.417 0.149 0.044
3 Ag 0.583 0.649 0.456
4 Ag 0.583 0.851 0.956
5 O 0.715 0.325 0.599
6 O 0.827 0.709 0.456
7 O 0.285 0.825 0.901
8 O 0.285 0.675 0.401
9 O 0.173 0.209 0.044
10 O 0.173 0.291 0.544
11 O 0.827 0.791 0.956
12 O 0.715 0.175 0.099
13 K 0.242 0.659 0.092
14 K 0.117 0.047 0.224
15 K 0.242 0.841 0.592
16 K 0.758 0.159 0.408
17 K 0.117 0.453 0.724
18 K 0.883 0.547 0.276
19 K 0.883 0.953 0.776
20 K 0.758 0.341 0.908

Properties
Energy ... -3.713 eV per atom
Space-group type ... No. 14


A geometry-optimized Zr4CoPC2 structure. Source: OQMD, functional PBE.

Lattice parameters (Å, degrees): 3.376 3.376 12.633 90.00 90.00 120.00
Element x y z (fractional)
1 Zr 0.667 0.333 0.144
2 Zr 0.000 0.000 0.649
3 Zr 0.667 0.333 0.856
4 Zr 0.000 0.000 0.351
5 Co 0.667 0.333 0.500
6 C 0.333 0.667 0.245
7 C 0.333 0.667 0.755
8 P 0.000 0.000 0.000

Properties
Energy ... -8.834 eV per atom
Space-group type ... No. 187
Total moment ... 0.0 μB per formula unit


A geometry-optimized K3ErCl6 structure. Source: OQMD, functional PBE.

Lattice parameters (Å, degrees): 13.062 7.734 12.573 90.00 109.85 90.00
Element x y z (fractional)
1 Cl 0.602 0.529 0.856
2 Cl 0.393 0.708 0.423
3 Cl 0.393 0.792 0.923
4 Cl 0.002 0.869 0.807
5 Cl 0.853 0.771 0.000
6 Cl 0.163 0.703 0.608
7 Cl 0.348 0.329 0.850
8 Cl 0.607 0.292 0.577
9 Cl 0.607 0.208 0.077
10 Cl 0.837 0.203 0.892
11 Cl 0.398 0.471 0.144
12 Cl 0.398 0.029 0.644
13 Cl 0.998 0.131 0.193
14 Cl 0.002 0.631 0.307
15 Cl 0.652 0.829 0.650
16 Cl 0.348 0.171 0.350
17 Cl 0.163 0.797 0.108
18 Cl 0.602 0.971 0.356
19 Cl 0.652 0.671 0.150
20 Cl 0.998 0.369 0.693
21 Cl 0.853 0.729 0.500
22 Cl 0.147 0.229 0.000
23 Cl 0.147 0.271 0.500
24 Cl 0.837 0.297 0.392
25 Er 0.500 0.000 0.500
26 Er 0.000 0.000 0.000
27 Er 0.500 0.500 0.000
28 Er 0.000 0.500 0.500
29 K 0.824 0.423 0.111
30 K 0.187 0.053 0.734
31 K 0.609 0.533 0.372
32 K 0.813 0.553 0.766
33 K 0.176 0.577 0.889
34 K 0.824 0.077 0.611
35 K 0.391 0.033 0.128
36 K 0.391 0.467 0.628
37 K 0.813 0.947 0.266
38 K 0.187 0.447 0.234
39 K 0.176 0.923 0.389
40 K 0.609 0.967 0.872

Properties
Energy ... -4.025 eV per atom
Space-group type ... No. 14
Total moment ... 0.0 μB per formula unit


A geometry-optimized PrZr structure. Source: OQMD, functional PBE.

Lattice parameters (Å, degrees): 17.862 7.035 5.526 90.00 90.00 89.99
Element x y z (fractional)
1 Zr 0.621 0.283 0.500
2 Zr 0.673 0.503 0.000
3 Zr 0.771 0.503 0.500
4 Zr 0.327 0.033 0.000
5 Zr 0.823 0.283 0.000
6 Zr 0.118 0.033 0.500
7 Zr 0.173 0.247 0.000
8 Zr 0.827 0.717 0.000
9 Zr 0.323 0.467 0.000
10 Zr 0.121 0.467 0.500
11 Zr 0.271 0.247 0.500
12 Zr 0.618 0.717 0.500
13 Pr 0.004 0.493 0.000
14 Pr 0.440 0.493 0.500
15 Pr 0.663 0.999 0.000
16 Pr 0.448 0.006 0.500
17 Pr 0.281 0.751 0.500
18 Pr 0.948 0.744 0.500
19 Pr 0.996 0.006 0.000
20 Pr 0.781 0.999 0.500
21 Pr 0.496 0.744 0.000
22 Pr 0.163 0.751 0.000
23 Pr 0.940 0.257 0.500
24 Pr 0.504 0.257 0.000

Properties
DFT formation energy ... 169 meV per atom
Energy ... -6.492 eV per atom
Space-group type ... No. 57
Total moment ... 0.0 μB per formula unit


A geometry-optimized HoHBrCl structure. Source: OQMD, functional PBE.

Lattice parameters (Å, degrees): 3.762 3.762 14.553 90.00 90.00 120.00
Element x y z (fractional)
1 Br 0.333 0.667 0.868
2 Br 0.333 0.667 0.132
3 Cl 0.000 0.000 0.381
4 Cl 0.000 0.000 0.619
5 Ho 0.667 0.333 0.000
6 Ho 0.667 0.333 0.500
7 H 0.000 0.000 0.000
8 H 0.333 0.667 0.500

Properties
Energy ... -4.507 eV per atom
Space-group type ... No. 187
Total moment ... 0.0 μB per formula unit


A geometry-optimized Gd2DyErGa2 structure. Source: OQMD, functional PBE.

Lattice parameters (Å, degrees): 5.176 5.176 6.614 90.00 90.00 120.00
Site moments in Bohr magnetons follow the coordinates.
Element x y z (fractional)
1 Dy 0.333 0.667 0.000  0.09
2 Gd 0.000 0.000 0.749  0.13
3 Gd 0.000 0.000 0.251  0.14
4 Er 0.667 0.333 0.500  0.12
5 Ga 0.333 0.667 0.500  -0.01
6 Ga 0.667 0.333 0.000  0.00

Properties
Energy ... -4.472 eV per atom
Space-group type ... No. 187
Total moment ... 0.6 μB per formula unit


A geometry-optimized HfBMo2 structure. Source: OQMD, functional PBE.

Lattice parameters (Å, degrees): 4.373 4.373 4.373 60.00 60.00 60.00
Element x y z (fractional)
1 B 0.500 0.500 0.500
2 Hf 0.250 0.250 0.250
3 Mo 0.750 0.750 0.750
4 Mo 0.000 0.000 0.000

Properties
Energy ... -9.242 eV per atom
Space-group type ... No. 216
Total moment ... 0.0 μB per formula unit